# 1
An optimized crystal structure of Fe2AgO2. Source: the Alexandria database, functional PBE with a Hubbard U.

Cell lengths 6.7082, 6.7082, 2.7329 Å; angles 90.00, 90.00, 90.00 degrees
Space group P4/mbm (No. 127)
One atom of each set of equivalent atoms:
Fe: 0.1432 0.3568 0.0000 (multiplicity 4)
Ag: 0.0000 0.0000 0.0000 (multiplicity 2)
O: 0.1403 0.6403 0.5000 (multiplicity 4)

Output
The value obtained for the distance to the lowest polymorph of the same formula is 358.5 meV/atom. The crystal system is tetragonal.



# 2
An optimized crystal structure of FeAgO2. Source: the Alexandria database, functional PBE with a Hubbard U.

Cell lengths 3.0804, 3.0804, 12.5766 Å; angles 90.00, 90.00, 120.00 degrees
Space group P6_3/mmc (No. 194)
One atom of each set of equivalent atoms:
Fe: 0.0000 0.0000 0.0000 (multiplicity 2)
Ag: 0.3333 0.6667 0.2500 (multiplicity 2)
O: 0.3333 0.6667 0.0819 (multiplicity 4)

Output
The crystal system is hexagonal.



# 3
An optimized crystal structure of FeAgO2. Source: the Alexandria database, functional PBE with a Hubbard U.

Cell lengths 5.6049, 5.6049, 5.6049 Å; angles 90.00, 90.00, 90.00 degrees
Space group Fm-3m (No. 225)
One atom of each set of equivalent atoms:
Fe: 0.0000 0.0000 0.0000 (multiplicity 4)
Ag: 0.0000 0.0000 0.5000 (multiplicity 4)
O: 0.2500 0.2500 0.2500 (multiplicity 8)

Output
The crystal system is cubic.



# 4
An optimized crystal structure of FeAgO2. Source: the Alexandria database, functional PBE with a Hubbard U.

Cell lengths 12.8457, 3.0429, 5.4887 Å; angles 90.00, 107.60, 90.00 degrees
Space group C2/c (No. 15)
One atom of each set of equivalent atoms:
Fe: 0.2500 0.2500 0.0000 (multiplicity 4)
Ag: 0.0000 0.0000 0.0000 (multiplicity 4)
O: 0.1659 0.2397 0.6091 (multiplicity 8)

Output
The crystal system is monoclinic.



# 5
An optimized crystal structure of Fe3AgO. Source: the Alexandria database, functional PBE with a Hubbard U.

Cell lengths 4.9437, 4.9437, 4.9437 Å; angles 90.00, 90.00, 90.00 degrees
Space group Pm-3m (No. 221)
One atom of each set of equivalent atoms:
Fe: 0.0000 0.0000 0.5000 (multiplicity 3)
Ag: 0.0000 0.0000 0.0000 (multiplicity 1)
O: 0.5000 0.5000 0.5000 (multiplicity 1)

Output
The crystal system is cubic.



# 6
An optimized crystal structure of Fe5Ag3O12. Source: the Alexandria database, functional PBE with a Hubbard U.

Cell lengths 12.5367, 12.5367, 12.5367 Å; angles 90.00, 90.00, 90.00 degrees
Space group Ia-3d (No. 230)
One atom of each set of equivalent atoms:
Fe: 0.0000 0.0000 0.0000 (multiplicity 16)
Fe: 0.0000 0.2500 0.3750 (multiplicity 24)
Ag: 0.0000 0.2500 0.1250 (multiplicity 24)
O: 0.0283 0.0495 0.6475 (multiplicity 96)

Output
The crystal system is cubic.



# 7
An optimized crystal structure of FeAgO2. Source: the Alexandria database, functional PBE with a Hubbard U.

Cell lengths 2.9466, 2.9466, 18.2996 Å; angles 90.00, 90.00, 120.00 degrees
Space group R3m (No. 160, hexagonal axes)
One atom of each set of equivalent atoms:
Fe: 0.0000 0.0000 0.0000 (multiplicity 3)
Ag: 0.0000 0.0000 0.1617 (multiplicity 3)
O: 0.0000 0.0000 0.2807 (multiplicity 3)
O: 0.0000 0.0000 0.7225 (multiplicity 3)

Output
The crystal system is trigonal.



# 8
An optimized crystal structure of FeAgO2. Source: the Alexandria database, functional PBE with a Hubbard U.

Cell lengths 3.0824, 3.0824, 18.8766 Å; angles 90.00, 90.00, 120.00 degrees
Space group R-3m (No. 166, hexagonal axes)
One atom of each set of equivalent atoms:
Fe: 0.0000 0.0000 0.0000 (multiplicity 3)
Ag: 0.0000 0.0000 0.5000 (multiplicity 3)
O: 0.0000 0.0000 0.3879 (multiplicity 6)

Output
The crystal system is trigonal.



# 9
An optimized crystal structure of Fe2Ag2OsO6. Source: the Alexandria database, functional PBE with a Hubbard U.

Cell lengths 5.2471, 8.8211, 6.1920 Å; angles 90.00, 103.91, 90.00 degrees
Space group C2/m (No. 12)
One atom of each set of equivalent atoms:
Fe: 0.0000 0.1668 0.0000 (multiplicity 4)
Ag: 0.0000 0.1804 0.5000 (multiplicity 4)
Os: 0.0000 0.5000 0.0000 (multiplicity 2)
O: 0.1163 0.0000 0.8272 (multiplicity 4)
O: 0.1230 0.3306 0.8325 (multiplicity 8)

Output
The crystal system is monoclinic.



# 10
An optimized crystal structure of FeAgOs2O8. Source: the Alexandria database, functional PBE with a Hubbard U.

Cell lengths 5.8689, 5.8689, 6.4721 Å; angles 90.00, 90.00, 120.00 degrees
Space group P-3 (No. 147)
One atom of each set of equivalent atoms:
Fe: 0.0000 0.0000 0.0000 (multiplicity 1)
Ag: 0.0000 0.0000 0.5000 (multiplicity 1)
Os: 0.3333 0.6667 0.2798 (multiplicity 2)
O: 0.1629 0.3276 0.2007 (multiplicity 6)
O: 0.3333 0.6667 0.5515 (multiplicity 2)

Output
The crystal system is trigonal.



# 11
An optimized crystal structure of FeAgP2O. Source: the Alexandria database, functional PBE with a Hubbard U.

Cell lengths 4.8705, 4.8705, 3.5124 Å; angles 90.00, 90.00, 90.00 degrees
Space group P4/mmm (No. 123)
One atom of each set of equivalent atoms:
Fe: 0.0000 0.0000 0.0000 (multiplicity 1)
Ag: 0.5000 0.5000 0.5000 (multiplicity 1)
P: 0.0000 0.5000 0.0000 (multiplicity 2)
O: 0.0000 0.0000 0.5000 (multiplicity 1)

Output
The value obtained for the distance to the lowest polymorph of the same formula is 0.0 meV/atom. The crystal system is tetragonal.



# 12
An optimized crystal structure of FeAgP2O. Source: the Alexandria database, functional PBE with a Hubbard U.

Cell lengths 4.8350, 4.8350, 3.9310 Å; angles 90.00, 90.00, 90.00 degrees
Space group P4/mmm (No. 123)
One atom of each set of equivalent atoms:
Fe: 0.0000 0.0000 0.0000 (multiplicity 1)
Ag: 0.5000 0.5000 0.5000 (multiplicity 1)
P: 0.0000 0.5000 0.5000 (multiplicity 2)
O: 0.5000 0.5000 0.0000 (multiplicity 1)

Output
The value obtained for the distance to the lowest polymorph of the same formula is 750.3 meV/atom. The crystal system is tetragonal.



# 13
An optimized crystal structure of PaFe2AgO6. Source: the Alexandria database, functional PBE with a Hubbard U.

Cell lengths 5.5259, 5.5259, 14.2805 Å; angles 90.00, 90.00, 120.00 degrees
Space group R3 (No. 146, hexagonal axes)
One atom of each set of equivalent atoms:
Pa: 0.0000 0.0000 0.0000 (multiplicity 3)
Fe: 0.0000 0.0000 0.2158 (multiplicity 3)
Fe: 0.0000 0.0000 0.7074 (multiplicity 3)
Ag: 0.0000 0.0000 0.4732 (multiplicity 3)
O: 0.0000 0.3779 0.9508 (multiplicity 9)
O: 0.0956 0.7425 0.7756 (multiplicity 9)

Output
The crystal system is trigonal.



# 14
An optimized crystal structure of PaFe2AgO8. Source: the Alexandria database, functional PBE with a Hubbard U.

Cell lengths 7.0408, 7.0408, 6.6267 Å; angles 90.00, 90.00, 90.00 degrees
Space group I-4m2 (No. 119)
One atom of each set of equivalent atoms:
Pa: 0.0000 0.0000 0.0000 (multiplicity 2)
Fe: 0.0000 0.0000 0.5000 (multiplicity 2)
Fe: 0.0000 0.5000 0.2500 (multiplicity 2)
Ag: 0.0000 0.5000 0.7500 (multiplicity 2)
O: 0.0000 0.1804 0.6885 (multiplicity 8)
O: 0.0000 0.2982 0.0733 (multiplicity 8)

Output
The crystal system is tetragonal.



# 15
An optimized crystal structure of Pa2FeAgO8. Source: the Alexandria database, functional PBE with a Hubbard U.

Cell lengths 5.3446, 5.3446, 10.9778 Å; angles 90.00, 90.00, 90.00 degrees
Space group I-4 (No. 82)
One atom of each set of equivalent atoms:
Pa: 0.0000 0.0000 0.0000 (multiplicity 2)
Pa: 0.0000 0.5000 0.2500 (multiplicity 2)
Fe: 0.0000 0.0000 0.5000 (multiplicity 2)
Ag: 0.0000 0.5000 0.7500 (multiplicity 2)
O: 0.1824 0.7364 0.4202 (multiplicity 8)
O: 0.1882 0.1938 0.8354 (multiplicity 8)

Output
The crystal system is tetragonal.



# 16
An optimized crystal structure of FeAg3Pd3O8. Source: the Alexandria database, functional PBE with a Hubbard U.

Cell lengths 10.7183, 6.2141, 7.5525 Å; angles 90.00, 123.18, 90.00 degrees
Space group C2/m (No. 12)
One atom of each set of equivalent atoms:
Fe: 0.0000 0.0000 0.0000 (multiplicity 2)
Ag: 0.0000 0.5000 0.5000 (multiplicity 2)
Ag: 0.2500 0.2500 0.5000 (multiplicity 4)
Pd: 0.0000 0.5000 0.0000 (multiplicity 2)
Pd: 0.2500 0.2500 0.0000 (multiplicity 4)
O: 0.1011 0.5000 0.8292 (multiplicity 4)
O: 0.1031 0.0000 0.8520 (multiplicity 4)
O: 0.1412 0.2426 0.1642 (multiplicity 8)

Output
The crystal system is monoclinic.



# 17
An optimized crystal structure of Pm2FeAg3O6. Source: the Alexandria database, functional PBE with a Hubbard U.

Cell lengths 6.0332, 10.4710, 6.5710 Å; angles 90.00, 107.73, 90.00 degrees
Space group C2/m (No. 12)
One atom of each set of equivalent atoms:
Pm: 0.0000 0.1668 0.0000 (multiplicity 4)
Fe: 0.0000 0.5000 0.0000 (multiplicity 2)
Ag: 0.0000 0.0000 0.5000 (multiplicity 2)
Ag: 0.0000 0.3522 0.5000 (multiplicity 4)
O: 0.0943 0.3505 0.8332 (multiplicity 8)
O: 0.1436 0.0000 0.8322 (multiplicity 4)

Output
The crystal system is monoclinic.



# 18
An optimized crystal structure of Pm2FeAg2O6. Source: the Alexandria database, functional PBE with a Hubbard U.

Cell lengths 5.9013, 10.5422, 6.3337 Å; angles 90.00, 98.94, 90.00 degrees
Space group C2/m (No. 12)
One atom of each set of equivalent atoms:
Pm: 0.0000 0.1631 0.0000 (multiplicity 4)
Fe: 0.0000 0.5000 0.0000 (multiplicity 2)
Ag: 0.0000 0.3515 0.5000 (multiplicity 4)
O: 0.1143 0.3481 0.8261 (multiplicity 8)
O: 0.1933 0.0000 0.8528 (multiplicity 4)

Output
The crystal system is monoclinic.



# 19
An optimized crystal structure of PmFeAg2O4. Source: the Alexandria database, functional PBE with a Hubbard U.

Cell lengths 6.5423, 7.9779, 8.5778 Å; angles 90.00, 90.00, 90.00 degrees
Space group Imma (No. 74)
One atom of each set of equivalent atoms:
Pm: 0.0000 0.0000 0.0000 (multiplicity 4)
Fe: 0.2500 0.2500 0.2500 (multiplicity 4)
Ag: 0.0000 0.0000 0.5000 (multiplicity 4)
Ag: 0.2500 0.2500 0.7500 (multiplicity 4)
O: 0.0000 0.0849 0.2574 (multiplicity 8)
O: 0.2127 0.2500 0.0054 (multiplicity 8)

Output
The crystal system is orthorhombic.



# 20
An optimized crystal structure of Pm3FeAg3O8. Source: the Alexandria database, functional PBE with a Hubbard U.

Cell lengths 12.0949, 7.1304, 8.1259 Å; angles 90.00, 130.70, 90.00 degrees
Space group C2/m (No. 12)
One atom of each set of equivalent atoms:
Pm: 0.0000 0.0000 0.0000 (multiplicity 2)
Pm: 0.2500 0.2500 0.0000 (multiplicity 4)
Fe: 0.0000 0.5000 0.0000 (multiplicity 2)
Ag: 0.0000 0.0000 0.5000 (multiplicity 2)
Ag: 0.2500 0.2500 0.5000 (multiplicity 4)
O: 0.0756 0.5000 0.8520 (multiplicity 4)
O: 0.0896 0.0000 0.8229 (multiplicity 4)
O: 0.1519 0.2686 0.1754 (multiplicity 8)

Output
The crystal system is monoclinic.



no.,total magnetization (μB per atom),DFT total energy (eV per atom)
1,1.54,-5.0727
2,1.25,-5.6046
3,1.25,-4.7441
4,1.25,-5.5441
5,2.21,-3.4121
6,0.95,-5.5056
7,0.25,-5.1659
8,1.25,-5.6048
9,0.36,-5.8167
10,0.08,-6.6770
11,0.65,-4.4523
12,0.74,-3.7020
13,1.00,-7.2047
14,0.50,-6.6126
15,0.31,-7.8530
16,0.06,-4.9699
17,0.41,-6.1875
18,0.36,-6.3682
19,0.63,-5.8833
20,0.27,-6.3710